[1]
Compound: CaMg2Mo
Source: Alexandria via LeMat-Bulk
Functional: GGA-PBE
Structure: relaxed

Excess energy over the best structure of this formula in the dataset ... 137 meV/atom
Formation energy from the elements ... 2.00 eV/f.u.
V ... 267 Å³/cell
VASP energy ... -14.02 eV/f.u.
Crystal system ... trigonal

Cell: 3.1338 3.1338 31.4113 Å, 90.00 90.00 120.00°
Space group R-3m (No. 166, hexagonal axes)
Asymmetric unit:
1 Ca 0.0000 0.0000 0.0000 x3
2 Mg 0.0000 0.0000 0.2391 x6
3 Mo 0.0000 0.0000 0.5000 x3



[2]
Compound: CaMgMo2
Source: Alexandria via LeMat-Bulk
Functional: GGA-PBE
Structure: relaxed

Formation energy from the elements ... 2.15 eV/f.u.
V ... 159 Å³/cell
VASP energy ... -23.11 eV/f.u.
Crystal system ... monoclinic

Cell: 9.339 2.785 6.124 Å, 90.00 91.73 90.00°
Space group Cm (No. 8)
Asymmetric unit:
1 Ca 0.000 0.000 0.000 x2
2 Mg 0.246 0.000 0.706 x2
3 Mo 0.009 0.500 0.468 x2
4 Mo 0.253 0.500 0.290 x2